The following is a DFT calculation (PBE) of a geometry-optimized V3S structure.

Results
V	52	Å³/f.u.
formation energy from raw total energies	-0.38	eV per atom
total DFT energy (no corrections)	-66.0	eV per cell
polymorph energy (0 for the lowest one)	0.168	eV per atom
Fermi-level density of states	3.48	states/eV/f.u.

Unit cell a=3.133 b=5.033 c=6.749 alpha=99.97 beta=90.00 gamma=90.00
Atoms (fractional coordinates):
1 V 0.750 0.242 0.440
2 V 0.750 0.073 0.856
3 V 0.750 0.606 0.864
4 V 0.250 0.758 0.560
5 V 0.250 0.927 0.144
6 V 0.250 0.394 0.136
7 S 0.250 0.301 0.693
8 S 0.750 0.699 0.307